ZnPtW2 after structural relaxation, computed with GGA-PBEsol.

a = 5.255 Å, b = 8.450 Å, c = 2.677 Å
α = 90.00°, β = 90.00°, γ = 90.00°
Space group Cmmm (No. 65)
Symmetry-distinct sites (fractional):
Zn 0.000 0.000 0.000 (multiplicity 2)
Pt 0.000 0.500 0.000 (multiplicity 2)
W 0.250 0.250 0.500 (multiplicity 4)



ZnPt3W after structural relaxation, computed with GGA-PBEsol.

a = 4.788 Å, b = 4.788 Å, c = 4.788 Å
α = 90.00°, β = 90.00°, γ = 90.00°
Space group Pm-3m (No. 221)
Symmetry-distinct sites (fractional):
Zn 0.000 0.000 0.000 (multiplicity 1)
Pt 0.000 0.500 0.500 (multiplicity 3)
W 0.500 0.500 0.500 (multiplicity 1)



ZrPtW after structural relaxation, computed with GGA-PBEsol.

a = 2.816 Å, b = 2.816 Å, c = 12.759 Å
α = 90.00°, β = 90.00°, γ = 90.00°
Space group I4mm (No. 107)
Symmetry-distinct sites (fractional):
Zr 0.000 0.000 0.000 (multiplicity 2)
Pt 0.000 0.000 0.327 (multiplicity 2)
W 0.000 0.000 0.679 (multiplicity 2)

Results
**Relative energy among the computed polymorphs**: 0.000 eV per atom



ZrPtW3 after structural relaxation, computed with GGA-PBEsol.

a = 4.627 Å, b = 4.627 Å, c = 4.627 Å
α = 90.00°, β = 90.00°, γ = 90.00°
Space group Pm-3m (No. 221)
Symmetry-distinct sites (fractional):
Zr 0.000 0.000 0.000 (multiplicity 1)
Pt 0.500 0.500 0.500 (multiplicity 1)
W 0.000 0.000 0.500 (multiplicity 3)



ZrPtW after structural relaxation, computed with GGA-PBEsol.

a = 6.233 Å, b = 6.233 Å, c = 6.233 Å
α = 90.00°, β = 90.00°, γ = 90.00°
Space group F-43m (No. 216)
Symmetry-distinct sites (fractional):
Zr 0.000 0.000 0.000 (multiplicity 4)
Pt 0.250 0.250 0.250 (multiplicity 4)
W 0.250 0.250 0.750 (multiplicity 4)

Results
**Relative energy among the computed polymorphs**: 1.169 eV per atom



YPt after structural relaxation, computed with GGA-PBEsol.

a = 6.905 Å, b = 4.488 Å, c = 5.504 Å
α = 90.00°, β = 90.00°, γ = 90.00°
Space group Pnma (No. 62)
Symmetry-distinct sites (fractional):
Y 0.182 0.250 0.141 (multiplicity 4)
Pt 0.042 0.250 0.653 (multiplicity 4)



YPt5 after structural relaxation, computed with GGA-PBEsol.

a = 7.414 Å, b = 7.414 Å, c = 7.414 Å
α = 90.00°, β = 90.00°, γ = 90.00°
Space group F-43m (No. 216)
Symmetry-distinct sites (fractional):
Y 0.000 0.000 0.000 (multiplicity 4)
Pt 0.124 0.124 0.376 (multiplicity 16)
Pt 0.250 0.250 0.750 (multiplicity 4)



Y5Pt3 after structural relaxation, computed with GGA-PBEsol.

a = 8.3608 Å, b = 8.3608 Å, c = 6.0628 Å
α = 90.00°, β = 90.00°, γ = 120.00°
Space group P6_3/mcm (No. 193)
Symmetry-distinct sites (fractional):
Y 0.0000 0.2467 0.2500 (multiplicity 6)
Y 0.3333 0.6667 0.0000 (multiplicity 4)
Pt 0.0000 0.3953 0.7500 (multiplicity 6)

Results
**Relative energy among the computed polymorphs**: 0.000 eV per atom



Y2Pt after structural relaxation, computed with GGA-PBEsol.

a = 7.046 Å, b = 4.720 Å, c = 8.699 Å
α = 90.00°, β = 90.00°, γ = 90.00°
Space group Pnma (No. 62)
Symmetry-distinct sites (fractional):
Y 0.010 0.250 0.169 (multiplicity 4)
Y 0.145 0.250 0.581 (multiplicity 4)
Pt 0.241 0.250 0.907 (multiplicity 4)



Y2Pt after structural relaxation, computed with GGA-PBEsol.

a = 3.703 Å, b = 12.196 Å, c = 6.665 Å
α = 90.00°, β = 90.00°, γ = 90.00°
Space group Cmc2_1 (No. 36)
Symmetry-distinct sites (fractional):
Y 0.000 0.021 0.000 (multiplicity 4)
Y 0.000 0.288 0.823 (multiplicity 4)
Pt 0.000 0.383 0.223 (multiplicity 4)



Y2Pt after structural relaxation, computed with GGA-PBEsol.

a = 13.158 Å, b = 13.158 Å, c = 13.158 Å
α = 90.00°, β = 90.00°, γ = 90.00°
Space group Fd-3m (No. 227, origin choice 2)
Symmetry-distinct sites (fractional):
Y 0.000 0.000 0.000 (multiplicity 16)
Y 0.063 0.375 0.875 (multiplicity 48)
Pt 0.027 0.027 0.223 (multiplicity 32)



Y2Pt after structural relaxation, computed with GGA-PBEsol.

a = 6.792 Å, b = 6.792 Å, c = 6.792 Å
α = 90.00°, β = 90.00°, γ = 90.00°
Space group Fm-3m (No. 225)
Symmetry-distinct sites (fractional):
Y 0.250 0.250 0.250 (multiplicity 8)
Pt 0.000 0.000 0.000 (multiplicity 4)



Computed values of spin magnetization (unit: μB per atom) for the preceding records, in sequence: 0.000, 0.000, 0.000, 0.000, 0.734, 0.000, 0.000, 0.000, 0.000, 0.000, 0.000, 0.000.
Computed values of energy relative to the elements (unit: meV per atom) for the preceding records, in sequence: 82, 1346, -313, 2615, 856, -1232, -599, -969, -918, -858, -857, -812.
Computed values of raw total energy (unit: Ha/atom) for the preceding records, in sequence: -0.3292, -0.2172, -0.3773, -0.3264, -0.3343, -0.2986, -0.2771, -0.2883, -0.2862, -0.2840, -0.2839, -0.2823.